Material: FeBrCl2
Method: DFT, PBE
State: relaxed

Summary:
The excess energy over the best structure of this formula in the dataset comes out at 28.3 meV/atom. Its calculated volume is 131.3 Å³/cell. The density of states at the Fermi level is 0.8 states/eV/cell. As for the uncorrected formation energy: -0.6047 eV per atom. The total energy is -4.0619 eV/atom.

```
data_FeBrCl2
_chemical_formula_sum 'Fe1 Br1 Cl2'
_symmetry_space_group_name_H-M 'P 1 m 1'
_symmetry_Int_Tables_number 6
_symmetry_space_group_name_Hall 'P -2y'
_cell_length_a 6.554
_cell_length_b 3.433
_cell_length_c 6.641
_cell_angle_alpha 90.00
_cell_angle_beta 118.52
_cell_angle_gamma 90.00
loop_
_atom_site_label
_atom_site_type_symbol
_atom_site_fract_x
_atom_site_fract_y
_atom_site_fract_z
Fe1 Fe 0.000 0.000 0.000
Br1 Br 0.250 0.500 0.298
Cl1 Cl 0.676 0.000 0.008
Cl2 Cl 0.962 0.500 0.734
```